# 1
Material: LaAuSe2
Method: DFT, GGA-PBE
State: relaxed

The structure in extended XYZ format:
```
4
Lattice="4.303 -2.158 1.692 0.348 -1.531 4.855 0.093 -4.981 1.104" Properties=species:S:1:pos:R:3 pbc="T T T"
Se 1.186 -2.168 1.913
Se 3.559 -6.503 5.738
La 0.000 0.000 0.000
Au 2.372 -4.335 3.825
```

Summary:
The calculation puts the calculated total energy at -19.2 eV for the cell shown. As for the volume: 23.49 A^3/atom. As for the total magnetization: 0.00 μB per formula unit. The calculation puts the energy above the lowest structure with this stoichiometry at 287.7 meV per atom.

---

# 2
Material: LaAuSe2
Method: DFT, GGA-PBE
State: relaxed

The structure in extended XYZ format:
```
4
Lattice="6.424 -0.003 -0.002 4.865 4.195 -0.002 4.865 1.807 3.786" Properties=species:S:1:pos:R:3 pbc="T T T"
Au 4.039 1.500 0.946
Se 8.152 3.027 1.909
Se 16.079 5.971 3.765
La 12.116 4.499 2.837
```

Summary:
The calculation puts the calculated total energy at -19.5 eV for the cell shown. As for the volume: 25.53 A^3/atom. As for the total magnetization: 0.00 μB per formula unit. The calculation puts the energy above the lowest structure with this stoichiometry at 221.0 meV per atom.

---

# 3
Material: La4AuSe
Method: DFT, GGA-PBE
State: relaxed

The structure in extended XYZ format:
```
6
Lattice="-5.990 0.338 1.973 -3.964 4.149 -2.638 -4.673 -2.030 -3.731" Properties=species:S:1:pos:R:3 pbc="T T T"
La -7.817 -0.083 -3.504
La -8.470 1.092 -0.675
La -5.499 0.924 -1.653
La -7.466 2.982 -2.961
Se -10.970 1.843 -3.297
Au 0.000 0.000 0.000
```

Summary:
The calculation puts the calculated total energy at -26.5 eV for the cell shown. As for the volume: 29.68 A^3/atom. As for the total magnetization: 0.00 μB per formula unit.

---

# 4
Material: LaAuSe2
Method: DFT, GGA-PBE
State: relaxed

The structure in extended XYZ format:
```
4
Lattice="3.853 0.000 0.000 0.000 3.865 -0.249 0.000 0.461 6.957" Properties=species:S:1:pos:R:3 pbc="T T T"
La 1.926 3.245 5.031
Se 0.000 1.416 6.753
Se 0.000 1.208 3.558
Au 1.926 1.082 1.677
```

Summary:
The calculation puts the calculated total energy at -19.2 eV for the cell shown. As for the volume: 26.01 A^3/atom. As for the total magnetization: 0.00 μB per formula unit. The calculation puts the energy above the lowest structure with this stoichiometry at 286.6 meV per atom.

---

no.,formation energy (no corrections) (eV/atom)
1,-1.009
2,-1.076
3,-0.006
4,-1.010